# 1
DFT (PBE) results for ZrNi3H3 after structural relaxation.

D(E_F) ... 7.05 states/eV/cell
Energy ... -4.81 eV per atom
SG ... Fm-3m, No. 225

Cell lengths 5.846, 5.846, 5.846 Å; angles 60.00, 60.00, 60.00 degrees
Positions (direct):
Zr  0.250  0.250  0.250
Zr  0.750  0.750  0.750
Ni  0.202  0.798  0.798
Ni  0.202  0.798  0.202
Ni  0.202  0.202  0.798
Ni  0.798  0.202  0.798
Ni  0.798  0.202  0.202
Ni  0.798  0.798  0.202
H  0.376  0.624  0.376
H  0.376  0.624  0.624
H  0.376  0.376  0.624
H  0.624  0.376  0.624
H  0.624  0.376  0.376
H  0.624  0.624  0.376

# 2
DFT (PBE) results for ZrNi2H after structural relaxation.

D(E_F) ... 9.36 states/eV/cell
Energy ... -6.05 eV per atom
SG ... I-42d, No. 122

Cell lengths 5.113, 5.113, 5.106 Å; angles 59.95, 59.95, 90.00 degrees
Positions (direct):
Ni  0.374  0.125  0.250
Ni  0.376  0.625  0.250
Ni  0.375  0.626  0.750
Ni  0.875  0.624  0.750
Zr  0.000  0.000  0.000
Zr  0.750  0.250  0.500
H  0.500  0.500  0.000
H  0.250  0.750  0.500

# 3
DFT (PBE) results for Zr3NiH3 after structural relaxation.

D(E_F) ... 9.14 states/eV/cell
Energy ... -6.19 eV per atom
SG ... Pm-3n, No. 223

Cell lengths 5.666, 5.666, 5.666 Å; angles 90.00, 90.00, 90.00 degrees
Positions (direct):
Ni  0.500  0.500  0.500
Ni  0.000  0.000  0.000
Zr  0.000  0.250  0.500
Zr  0.000  0.750  0.500
Zr  0.500  0.000  0.750
Zr  0.750  0.500  0.000
Zr  0.500  0.000  0.250
Zr  0.250  0.500  0.000
H  0.250  0.000  0.500
H  0.000  0.500  0.250
H  0.500  0.750  0.000
H  0.750  0.000  0.500
H  0.000  0.500  0.750
H  0.500  0.250  0.000

# 4
DFT (PBE) results for Zr2NiH after structural relaxation.

D(E_F) ... 8.85 states/eV/cell
Energy ... -6.79 eV per atom
SG ... I-42d, No. 122

Cell lengths 6.064, 6.064, 5.434 Å; angles 56.08, 56.08, 90.00 degrees
Positions (direct):
Ni  0.000  0.000  0.000
Ni  0.750  0.250  0.500
Zr  0.566  0.125  0.250
Zr  0.184  0.625  0.250
Zr  0.375  0.434  0.750
Zr  0.875  0.816  0.750
H  0.500  0.500  0.000
H  0.250  0.750  0.500

# 5
DFT (PBE) results for Zr12Ni3H5 after structural relaxation.

D(E_F) ... 93.45 states/eV/cell
Energy ... -6.96 eV per atom
SG ... Ia-3d, No. 230

Cell lengths 12.004, 12.004, 12.004 Å; angles 109.47, 109.47, 109.47 degrees
Positions (direct):
Ni  0.750  0.375  0.125
Ni  0.875  0.750  0.125
Ni  0.375  0.750  0.625
Ni  0.250  0.125  0.375
Ni  0.875  0.125  0.250
Ni  0.375  0.625  0.250
Ni  0.625  0.375  0.750
Ni  0.125  0.875  0.750
Ni  0.750  0.875  0.625
Ni  0.625  0.250  0.375
Ni  0.125  0.250  0.875
Ni  0.250  0.625  0.875
H  0.125  0.375  0.250
H  0.000  0.500  0.000
H  0.000  0.000  0.000
H  0.375  0.250  0.125
H  0.500  0.000  0.500
H  0.500  0.500  0.000
H  0.125  0.750  0.375
H  0.750  0.125  0.875
H  0.750  0.625  0.375
H  0.375  0.125  0.750
H  0.625  0.875  0.250
H  0.500  0.500  0.500
H  0.500  0.000  0.000
H  0.000  0.000  0.500
H  0.250  0.375  0.625
H  0.250  0.875  0.125
H  0.000  0.500  0.500
H  0.875  0.250  0.625
H  0.625  0.750  0.875
H  0.875  0.625  0.750
Zr  0.710  0.117  0.024
Zr  0.313  0.524  0.407
Zr  0.976  0.383  0.290
Zr  0.524  0.210  0.117
Zr  0.593  0.710  0.687
Zr  0.976  0.593  0.187
Zr  0.313  0.790  0.407
Zr  0.093  0.907  0.117
Zr  0.593  0.976  0.687
Zr  0.710  0.593  0.187
Zr  0.790  0.476  0.383
Zr  0.813  0.907  0.024
Zr  0.117  0.710  0.524
Zr  0.383  0.407  0.093
Zr  0.093  0.907  0.383
Zr  0.407  0.117  0.593
Zr  0.093  0.187  0.210
Zr  0.476  0.687  0.093
Zr  0.813  0.907  0.290
Zr  0.117  0.407  0.093
Zr  0.383  0.976  0.790
Zr  0.593  0.617  0.407
Zr  0.907  0.813  0.524
Zr  0.790  0.313  0.907
Zr  0.407  0.383  0.593
Zr  0.093  0.187  0.476
Zr  0.210  0.687  0.093
Zr  0.187  0.093  0.710
Zr  0.617  0.024  0.210
Zr  0.883  0.593  0.907
Zr  0.524  0.313  0.907
Zr  0.593  0.883  0.407
Zr  0.907  0.813  0.790
Zr  0.907  0.093  0.617
Zr  0.883  0.290  0.476
Zr  0.187  0.093  0.976
Zr  0.617  0.593  0.907
Zr  0.407  0.024  0.313
Zr  0.290  0.407  0.813
Zr  0.210  0.524  0.617
Zr  0.907  0.093  0.883
Zr  0.687  0.210  0.593
Zr  0.476  0.790  0.883
Zr  0.024  0.407  0.813
Zr  0.407  0.290  0.313
Zr  0.024  0.617  0.710
Zr  0.687  0.476  0.593
Zr  0.290  0.883  0.976

# 6
DFT (PBE) results for ZrNi2H4 after structural relaxation.

D(E_F) ... 10.46 states/eV/cell
Energy ... -4.93 eV per atom
SG ... I4_1/amd, No. 141

Cell lengths 5.261, 5.261, 5.261 Å; angles 81.83, 64.60, 115.40 degrees
Positions (direct):
Zr  0.500  0.750  0.750
Zr  0.000  0.000  0.000
Ni  0.750  0.375  0.875
Ni  0.250  0.375  0.375
Ni  0.250  0.875  0.375
Ni  0.750  0.375  0.375
H  0.352  0.047  0.600
H  0.147  0.702  0.150
H  0.648  0.048  0.305
H  0.648  0.600  0.047
H  0.352  0.305  0.048
H  0.853  0.703  0.445
H  0.853  0.150  0.702
H  0.147  0.445  0.703

# 7
DFT (PBE) results for Zr5Ni2H12 after structural relaxation.

D(E_F) ... 6.24 states/eV/cell
Energy ... -5.34 eV per atom
SG ... C2/m, No. 12

Cell lengths 5.526, 5.567, 6.546 Å; angles 99.92, 90.00, 119.76 degrees
Positions (direct):
Zr  0.342  0.685  0.638
Zr  0.275  0.550  0.158
Zr  0.000  0.000  0.500
Zr  0.725  0.450  0.842
Zr  0.658  0.315  0.362
Ni  0.768  0.000  0.000
Ni  0.232  0.000  0.000
H  0.035  0.069  0.169
H  0.140  0.659  0.912
H  0.519  0.659  0.912
H  0.076  0.663  0.398
H  0.588  0.663  0.398
H  0.521  0.042  0.849
H  0.479  0.958  0.151
H  0.924  0.337  0.602
H  0.412  0.337  0.602
H  0.860  0.341  0.088
H  0.481  0.341  0.088
H  0.965  0.931  0.831

# 8
DFT (PBE) results for ZrNi5H6 after structural relaxation.

D(E_F) ... 3.97 states/eV/cell
Energy ... -4.94 eV per atom
SG ... C2/m, No. 12

Cell lengths 4.771, 4.836, 4.725 Å; angles 59.22, 80.84, 71.88 degrees
Positions (direct):
Zr  0.000  0.000  0.000
Ni  0.500  0.162  0.677
Ni  0.000  0.331  0.339
Ni  0.500  0.500  0.000
Ni  0.000  0.669  0.661
Ni  0.500  0.838  0.323
H  0.739  0.142  0.354
H  0.261  0.504  0.354
H  0.328  0.234  0.000
H  0.672  0.766  0.000
H  0.739  0.496  0.646
H  0.261  0.858  0.646

Volume (computed, A^3/atom): 10.09 11.78 12.99 15.34 16.64 7.78 9.02 7.42